Entry 1:
Below is a relaxed structure of MnNiP, with properties calculated at the GGA-PBE level.

Geometry as CIF:
```
data_MnNiP
_symmetry_space_group_name_H-M 'P -6 2 m'
_symmetry_Int_Tables_number 189
_symmetry_space_group_name_Hall 'P -6 -2'
_cell_length_a 5.8566
_cell_length_b 5.8566
_cell_length_c 3.4604
_cell_angle_alpha 90.00
_cell_angle_beta 90.00
_cell_angle_gamma 120.00
loop_
_atom_site_label
_atom_site_type_symbol
_atom_site_fract_x
_atom_site_fract_y
_atom_site_fract_z
Mn1 Mn 0.0000 0.6013 0.0000
Ni1 Ni 0.0000 0.2582 0.5000
P1 P 0.0000 0.0000 0.0000
P2 P 0.3333 0.6667 0.5000
```

---

Entry 2:
Below is a relaxed structure of MnNi3P12, with properties calculated at the GGA-PBE level.

Geometry as CIF:
```
data_MnNi3P12
_symmetry_space_group_name_H-M 'R 3 c'
_symmetry_Int_Tables_number 161
_symmetry_space_group_name_Hall 'R 3 -2"c'
_cell_length_a 12.3674
_cell_length_b 12.3674
_cell_length_c 12.4748
_cell_angle_alpha 90.00
_cell_angle_beta 90.00
_cell_angle_gamma 120.00
loop_
_atom_site_label
_atom_site_type_symbol
_atom_site_fract_x
_atom_site_fract_y
_atom_site_fract_z
Mn1 Mn 0.0000 0.0000 0.0000
Ni1 Ni 0.0536 0.3641 0.1403
P1 P 0.0064 0.1905 0.0422
P2 P 0.0328 0.4600 0.3001
P3 P 0.0736 0.1838 0.4007
P4 P 0.1487 0.4687 0.4373
```

---

DFT total energy per entry: -7.330, -5.646 eV/atom
Fermi-level density of states per entry: 0.553, 0.480 states/eV per atom